Entry from the Alexandria database: a relaxed NaVO2 crystal (PBE with a Hubbard U).

Final energy (eV/atom): -6.020
Crystal system: cubic
Density of states at the Fermi level (states/eV/atom): 0.00
Total magnetic moment (μB per formula unit): 1.998
Calculated density (g/cm3): 4.7

abc: 3.7633 3.7633 3.7633
angles: 60.00 60.00 60.00
Atoms (fractional coordinates):
Na1 0.0000 0.0000 0.0000
O1 0.2500 0.2500 0.2500
O2 0.7500 0.7500 0.7500
V1 0.5000 0.5000 0.5000